A geometry-optimized TlTe2Au2 structure. Source: the Alexandria database, functional PBE-GGA.

Summary:
Energy relative to the lowest polymorph listed for this composition   3.4 meV/atom
Crystal system   tetragonal

Cell and atoms, written as extended XYZ:
```
10
Lattice="-4.357 4.357 3.843 4.357 -4.357 3.843 4.357 4.357 -3.843" Properties=species:S:1:pos:R:3 pbc="T T T"
Tl 0.000 0.000 0.000
Tl 0.000 0.000 3.843
Te 3.050 -1.306 1.779
Te 5.663 1.306 1.779
Te 1.306 3.050 1.779
Te -1.306 5.663 1.779
Au 5.652 1.296 -0.948
Au 1.296 3.061 -0.948
Au 3.061 1.296 2.895
Au -1.296 3.061 2.895
```

***

A geometry-optimized TlTe2Au2 structure. Source: the Alexandria database, functional PBE-GGA.

Summary:
Energy relative to the lowest polymorph listed for this composition   72.8 meV/atom
Crystal system   tetragonal

Cell and atoms, written as extended XYZ:
```
5
Lattice="-2.100 2.100 7.917 2.100 -2.100 7.917 2.100 2.100 -7.917" Properties=species:S:1:pos:R:3 pbc="T T T"
Tl 0.000 0.000 0.000
Te 0.000 0.000 5.921
Te 0.000 0.000 9.914
Au 2.100 0.000 3.959
Au 0.000 2.100 3.959
```

***

A geometry-optimized Tl2TeAu structure. Source: the Alexandria database, functional PBE-GGA.

Summary:
Energy relative to the lowest polymorph listed for this composition   73.5 meV/atom
Crystal system   monoclinic

Cell and atoms, written as extended XYZ:
```
4
Lattice="3.319 0.000 0.000 0.000 4.394 0.000 -1.650 0.000 7.813" Properties=species:S:1:pos:R:3 pbc="T T T"
Tl 0.000 0.000 0.000
Tl -0.018 2.197 5.424
Te 1.639 0.000 3.324
Au 1.647 2.197 1.421
```

***

A geometry-optimized TlTeAu4 structure. Source: the Alexandria database, functional PBE-GGA.

Summary:
Crystal system   cubic

Cell and atoms, written as extended XYZ:
```
6
Lattice="0.000 4.043 4.043 4.043 0.000 4.043 4.043 4.043 0.000" Properties=species:S:1:pos:R:3 pbc="T T T"
Tl 0.000 0.000 0.000
Te 2.021 2.021 2.021
Au 5.054 3.031 3.031
Au 3.031 5.054 3.031
Au 3.031 3.031 5.054
Au 5.054 5.054 5.054
```

***

| no. | formation energy without anion corrections (meV per atom) |
| --- | --- |
| 1 | -124 |
| 2 | -54 |
| 3 | -44 |
| 4 | 26 |